Entry 1:
{
  "formula": "CuSnSb2",
  "functional": "PBE",
  "state": "relaxed",
  "lattice_angstrom": [[2.105, 1.215, 8.387], [-2.105, 1.215, 8.387], [0.000, -2.430, 8.387]],
  "species": ["Cu", "Sn", "Sb", "Sb"],
  "frac_coords": [[0.000, 0.000, 0.000], [0.500, 0.500, 0.500], [0.098, 0.098, 0.098], [0.902, 0.902, 0.902]],
  "spacegroup": "No. 166",
  "total_energy_ev_per_fu": -14.77,
  "e_form_raw_ev_per_atom": 0.393
}

---

Entry 2:
{
  "formula": "CuSn2Sb",
  "functional": "PBE",
  "state": "relaxed",
  "lattice_angstrom": [[4.000, 0.000, 0.000], [0.000, 8.507, 0.000], [-1.956, 0.000, 5.555]],
  "species": ["Cu", "Cu", "Sn", "Sn", "Sn", "Sn", "Sb", "Sb"],
  "frac_coords": [[0.244, 0.250, 0.485], [0.756, 0.750, 0.515], [0.359, 0.550, 0.724], [0.359, 0.950, 0.724], [0.641, 0.050, 0.276], [0.641, 0.450, 0.276], [0.087, 0.750, 0.166], [0.913, 0.250, 0.834]],
  "spacegroup": "No. 11",
  "total_energy_ev_per_fu": -15.82,
  "e_form_raw_ev_per_atom": 0.100
}

---

Entry 3:
{
  "formula": "CuSnSb2",
  "functional": "PBE",
  "state": "relaxed",
  "lattice_angstrom": [[2.116, 1.222, 6.475], [-2.116, 1.222, 6.475], [0.000, -2.444, 6.475]],
  "species": ["Cu", "Sn", "Sb", "Sb"],
  "frac_coords": [[0.000, 0.000, 0.000], [0.837, 0.837, 0.837], [0.398, 0.398, 0.398], [0.604, 0.604, 0.604]],
  "spacegroup": "No. 160",
  "total_energy_ev_per_fu": -15.94,
  "e_form_raw_ev_per_atom": 0.102
}

---

Entry 4:
{
  "formula": "CuSn2Sb",
  "functional": "PBE",
  "state": "relaxed",
  "lattice_angstrom": [[2.126, 1.227, 6.397], [-2.126, 1.227, 6.397], [0.000, -2.454, 6.397]],
  "species": ["Cu", "Sn", "Sn", "Sb"],
  "frac_coords": [[0.000, 0.000, 0.000], [0.402, 0.402, 0.402], [0.607, 0.607, 0.607], [0.843, 0.843, 0.843]],
  "spacegroup": "No. 160",
  "total_energy_ev_per_fu": -15.83,
  "e_form_raw_ev_per_atom": 0.099
}

---

Entry 5:
{
  "formula": "CuSn2Sb",
  "functional": "PBE",
  "state": "relaxed",
  "lattice_angstrom": [[3.181, 0.000, 0.000], [0.000, 3.181, 0.000], [0.000, 0.000, 9.374]],
  "species": ["Cu", "Sn", "Sn", "Sb"],
  "frac_coords": [[0.000, 0.000, 0.000], [0.500, 0.500, 0.196], [0.500, 0.500, 0.804], [0.000, 0.000, 0.500]],
  "spacegroup": "No. 123",
  "total_energy_ev_per_fu": -15.61,
  "e_form_raw_ev_per_atom": 0.152
}

---

Entry 6:
{
  "formula": "Cu2SnSb",
  "functional": "PBE",
  "state": "relaxed",
  "lattice_angstrom": [[2.037, 1.176, 5.727], [-2.037, 1.176, 5.727], [0.000, -2.352, 5.727]],
  "species": ["Cu", "Cu", "Sn", "Sb"],
  "frac_coords": [[0.000, 0.000, 0.000], [0.153, 0.153, 0.153], [0.582, 0.582, 0.582], [0.406, 0.406, 0.406]],
  "spacegroup": "No. 160",
  "total_energy_ev_per_fu": -15.78,
  "relative_energy_mev_per_atom": 0.0,
  "e_form_raw_ev_per_atom": 0.134
}

---

Entry 7:
{
  "formula": "Cu2SnSb",
  "functional": "PBE",
  "state": "relaxed",
  "lattice_angstrom": [[1.929, 1.114, 6.232], [-1.929, 1.114, 6.232], [0.000, -2.228, 6.232]],
  "species": ["Cu", "Cu", "Sn", "Sb"],
  "frac_coords": [[0.247, 0.247, 0.247], [0.753, 0.753, 0.753], [0.000, 0.000, 0.000], [0.500, 0.500, 0.500]],
  "spacegroup": "No. 166",
  "total_energy_ev_per_fu": -15.66,
  "relative_energy_mev_per_atom": 29.5,
  "e_form_raw_ev_per_atom": 0.163
}

---

Entry 8:
{
  "formula": "Cu2SnSb",
  "functional": "PBE",
  "state": "relaxed",
  "lattice_angstrom": [[-2.280, 2.280, 8.247], [2.280, -2.280, 8.247], [2.280, 2.280, -8.247]],
  "species": ["Cu", "Cu", "Cu", "Cu", "Sn", "Sn", "Sb", "Sb"],
  "frac_coords": [[0.118, 0.625, 0.993], [0.375, 0.368, 0.493], [0.632, 0.125, 0.007], [0.875, 0.882, 0.507], [0.250, 0.750, 0.500], [0.500, 0.500, 0.000], [0.000, 0.000, 0.000], [0.750, 0.250, 0.500]],
  "spacegroup": "No. 122",
  "total_energy_ev_per_fu": -15.61,
  "relative_energy_mev_per_atom": 44.1,
  "e_form_raw_ev_per_atom": 0.178
}

---

Entry 9:
{
  "formula": "CuSn2Sb",
  "functional": "PBE",
  "state": "relaxed",
  "lattice_angstrom": [[-3.148, 3.148, 6.311], [3.148, -3.148, 6.311], [3.148, 3.148, -6.311]],
  "species": ["Cu", "Cu", "Sn", "Sn", "Sn", "Sn", "Sb", "Sb"],
  "frac_coords": [[0.000, 0.000, 0.000], [0.750, 0.250, 0.500], [0.075, 0.625, 0.950], [0.375, 0.325, 0.450], [0.675, 0.125, 0.050], [0.875, 0.925, 0.550], [0.250, 0.750, 0.500], [0.500, 0.500, 0.000]],
  "spacegroup": "No. 122",
  "total_energy_ev_per_fu": -15.51,
  "e_form_raw_ev_per_atom": 0.178
}

---

Entry 10:
{
  "formula": "SrCuSnSb",
  "functional": "PBE",
  "state": "relaxed",
  "lattice_angstrom": [[4.435, 0.000, 0.000], [0.000, 4.435, 0.000], [0.000, 0.000, 11.010]],
  "species": ["Sr", "Sr", "Cu", "Cu", "Sn", "Sn", "Sb", "Sb"],
  "frac_coords": [[0.250, 0.250, 0.237], [0.750, 0.750, 0.763], [0.250, 0.750, 0.000], [0.750, 0.250, 0.000], [0.250, 0.750, 0.500], [0.750, 0.250, 0.500], [0.250, 0.250, 0.867], [0.750, 0.750, 0.133]],
  "spacegroup": "No. 129",
  "total_energy_ev_per_fu": -15.53,
  "e_form_raw_ev_per_atom": -0.406
}

---

Entry 11:
{
  "formula": "CuSnSbTe3",
  "functional": "PBE",
  "state": "relaxed",
  "lattice_angstrom": [[9.180, 0.000, 0.000], [0.000, 4.302, 0.000], [-2.318, 0.000, 9.323]],
  "species": ["Cu", "Cu", "Sn", "Sn", "Sb", "Sb", "Te", "Te", "Te", "Te", "Te", "Te"],
  "frac_coords": [[0.071, 0.250, 0.023], [0.929, 0.750, 0.977], [0.163, 0.250, 0.686], [0.837, 0.750, 0.314], [0.342, 0.750, 0.338], [0.658, 0.250, 0.662], [0.095, 0.250, 0.358], [0.227, 0.750, 0.016], [0.431, 0.750, 0.679], [0.569, 0.250, 0.321], [0.773, 0.250, 0.984], [0.905, 0.750, 0.642]],
  "spacegroup": "No. 11",
  "total_energy_ev_per_fu": -22.36,
  "e_form_raw_ev_per_atom": -0.120
}

---

Entry 12:
{
  "formula": "Cu2SnSbW",
  "functional": "PBE",
  "state": "relaxed",
  "lattice_angstrom": [[4.656, 0.000, 0.000], [0.000, 4.656, 0.000], [0.000, 0.000, 6.069]],
  "species": ["Cu", "Cu", "Sn", "Sb", "W"],
  "frac_coords": [[0.000, 0.500, 0.000], [0.500, 0.000, 0.000], [0.000, 0.000, 0.500], [0.000, 0.000, 0.000], [0.500, 0.500, 0.500]],
  "spacegroup": "No. 123",
  "total_energy_ev_per_fu": -21.52,
  "e_form_raw_ev_per_atom": 1.550
}